First-principles (PBE) data for a geometry-optimized Th2ZnIn structure, as listed in the Alexandria database.

Results
As for the raw total energy: -0.17568 Ha/atom. Its formation energy from the elements is -0.27 eV per formula unit. The calculation puts the magnetic moment at 0.0 μB per formula unit. Its theoretical density is 9.8 g/cm3.

Geometry as POSCAR:
```
Th2ZnIn
1.0
3.4571 0.0000 0.0000
1.7286 2.9940 0.0000
1.7286 0.9980 10.5765
Zn In Th
1 1 2
Cartesian
0.0000 0.0000 0.0000
3.4571 1.9960 5.2882
5.1857 2.9940 8.1330
1.7286 0.9980 2.4435
```

First-principles (PBE) data for a geometry-optimized Dy6TeC4 structure, as listed in the Alexandria database.

Results
The formation energy without anion corrections is -0.46 eV per atom. As for the raw total energy: -0.24295 Ha/atom. The calculation puts the magnetic moment at 0.0 μB per formula unit. Its theoretical density is 8.8 g/cm3.

Geometry as POSCAR:
```
Dy6TeC4
1.0
-1.3957 3.4359 0.2973
-1.0933 -2.9405 5.5731
16.8126 6.2584 6.6003
Dy C Te
12 8 2
Cartesian
2.3221 0.8252 1.3650
14.7321 5.2360 8.6493
5.4347 3.6928 6.1152
-0.6978 1.7180 0.1486
12.0016 5.9286 11.1056
8.8890 3.0610 6.3554
-0.4084 1.5178 3.8213
7.7085 4.8472 3.4488
5.8314 2.1315 2.7427
2.9338 0.6981 5.7051
8.4923 4.6223 9.7279
11.3899 6.0556 6.7655
9.5263 5.4238 5.3190
0.2124 -0.0733 1.8442
14.1113 6.8271 10.6265
13.6521 6.9596 6.9387
7.1115 4.2214 7.8785
0.6716 -0.2058 5.5320
4.7973 1.3300 7.1517
7.2122 2.5324 4.5921
11.3951 3.8649 8.8295
2.9285 2.8889 3.6412
```

First-principles (PBE) data for a geometry-optimized La2TaCo2 structure, as listed in the Alexandria database.

Results
As for the raw total energy: -0.25931 Ha/atom. Its formation energy from the elements is 0.64 eV per formula unit. The calculation puts the magnetic moment at 0.0 μB per formula unit. The offset from the most stable computed form is 0.0 meV per atom. Its theoretical density is 9.1 g/cm3.

Geometry as POSCAR:
```
La2TaCo2
1.0
6.7212 0.0000 0.0000
0.0000 6.7212 0.0000
0.0000 0.0000 4.6369
La Co Ta
4 4 2
Cartesian
1.1410 4.5016 2.3185
4.5016 5.5803 2.3185
5.5803 2.2196 2.3185
2.2196 1.1410 2.3185
0.9853 2.3753 0.0000
5.7359 4.3460 0.0000
2.3753 5.7359 0.0000
4.3460 0.9853 0.0000
3.3606 3.3606 0.0000
0.0000 0.0000 0.0000
```

First-principles (PBE) data for a geometry-optimized NbCSe3 structure, as listed in the Alexandria database.

Results
The formation energy without anion corrections is 1.25 eV per atom. As for the raw total energy: -0.17286 Ha/atom. The calculation puts the magnetic moment at 1.4 μB per formula unit. The offset from the most stable computed form is 288.1 meV per atom. Its theoretical density is 4.5 g/cm3.

Geometry as POSCAR:
```
NbCSe3
1.0
-2.2459 0.6723 -4.4491
2.5306 -3.9228 -1.8702
-3.7205 -3.0740 1.4136
Nb Se C
1 3 1
Cartesian
0.0000 0.0000 0.0000
-1.1229 0.3361 -2.2245
-1.8602 -1.5370 0.7068
1.2653 -1.9614 -0.9351
-1.7179 -3.1623 -2.4528
```